Compound: Rb2Cd4Ir
Source: the Alexandria database
Functional: GGA-PBE
Structure: optimized geometry

abc: 9.974 9.974 9.974
angles: 148.85 148.85 44.63
Sites, in units of the cell vectors:
Rb  0.149  0.149  0.000
Rb  0.851  0.851  0.000
Cd  0.000  0.500  0.500
Cd  0.357  0.357  0.000
Cd  0.500  0.000  0.500
Cd  0.643  0.643  0.000
Ir  0.500  0.500  0.000

Values from the calculation:
The energy of formation from the pure elements comes out at 17 meV/atom.

---

Compound: RbCdIr3
Source: the Alexandria database
Functional: GGA-PBE
Structure: optimized geometry

abc: 4.882 4.882 4.882
angles: 90.00 90.00 90.00
Sites, in units of the cell vectors:
Rb  0.000  0.000  0.000
Cd  0.500  0.500  0.500
Ir  0.000  0.000  0.500
Ir  0.000  0.500  0.000
Ir  0.500  0.000  0.000

Values from the calculation:
The energy of formation from the pure elements comes out at 3000 meV/atom. The relative energy among the computed polymorphs comes out at 1000 meV/atom.

---

Compound: Rb2Cd2Ir
Source: the Alexandria database
Functional: GGA-PBE
Structure: optimized geometry

abc: 7.350 7.350 5.974
angles: 90.00 90.00 90.00
Sites, in units of the cell vectors:
Rb  0.175  0.325  0.000
Rb  0.325  0.825  0.000
Rb  0.675  0.175  0.000
Rb  0.825  0.675  0.000
Cd  0.173  0.673  0.500
Cd  0.327  0.173  0.500
Cd  0.673  0.827  0.500
Cd  0.827  0.327  0.500
Ir  0.000  0.000  0.500
Ir  0.500  0.500  0.500

Values from the calculation:
The energy of formation from the pure elements comes out at 292 meV/atom.

---

Compound: RbCd2Ir
Source: the Alexandria database
Functional: GGA-PBE
Structure: optimized geometry

abc: 9.724 9.724 9.724
angles: 145.43 145.43 49.70
Sites, in units of the cell vectors:
Rb  0.000  0.000  0.000
Rb  0.750  0.250  0.500
Cd  0.373  0.625  0.248
Cd  0.375  0.623  0.748
Cd  0.377  0.125  0.752
Cd  0.875  0.627  0.252
Ir  0.250  0.750  0.500
Ir  0.500  0.500  0.000

Values from the calculation:
The energy of formation from the pure elements comes out at 398 meV/atom. The relative energy among the computed polymorphs comes out at 0 meV/atom.

---

Number 1: E -14.3 eV per cell. Number 2: E -13.5 eV per cell. Number 3: E -22.3 eV per cell. Number 4: E -20.1 eV per cell.